Entry 1:
Compound: Nb3Ga4Rh
Source: Alexandria via LeMat-Bulk
Functional: PBE
Structure: relaxed

The structure belongs to space group Pmn2_1 (No. 31); the cell edges are 8.4615, 5.5097 and 5.5756 Å and the angles 90.00°, 90.00° and 90.00°. Symmetry generates all atoms from Nb at (0.0000, 0.0186, 0.0000), Nb at (0.2430, 0.2379, 0.2785), Ga at (0.0000, 0.5153, 0.0650), Ga at (0.0000, 0.9817, 0.5127), Ga at (0.2371, 0.7400, 0.2801) and Rh at (0.0000, 0.4597, 0.6059).

The final energy comes out at -6.51 eV per atom.


Entry 2:
Compound: Pm4Pr2DyHo
Source: Alexandria via LeMat-Bulk
Functional: PBE
Structure: relaxed

The structure belongs to space group C2/c (No. 15); the cell edges are 13.8243, 13.3423 and 6.9189 Å and the angles 90.00°, 119.73° and 90.00°. Symmetry generates all atoms from Pm at (0.0101, 0.2457, 0.0115), Pm at (0.2466, 0.0031, 0.4512), Pr at (0.0000, 0.5000, 0.0000), Pr at (0.2500, 0.2500, 0.0000), Dy at (0.0000, 0.0000, 0.0000) and Ho at (0.2500, 0.2500, 0.5000).

The final energy comes out at -4.33 eV per atom.


Entry 3:
Compound: Li5CdPd2
Source: Alexandria via LeMat-Bulk
Functional: PBE
Structure: relaxed

The structure belongs to space group I4/mmm (No. 139); the cell edges are 5.6227, 5.6227 and 7.7890 Å and the angles 90.00°, 90.00° and 90.00°. Symmetry generates all atoms from Li at (0.0000, 0.0000, 0.0000), Li at (0.2500, 0.2500, 0.2500), Cd at (0.0000, 0.0000, 0.5000) and Pd at (0.0000, 0.5000, 0.0000).

The final energy comes out at -2.94 eV per atom.


Entry 4:
Compound: PuAg2Ge2
Source: Alexandria via LeMat-Bulk
Functional: PBE
Structure: relaxed

The structure belongs to space group Imma (No. 74); the cell edges are 4.0750, 4.2572 and 23.3195 Å and the angles 90.00°, 90.00° and 90.00°. Symmetry generates all atoms from Pu at (0.0000, 0.2500, 0.0788), Ag at (0.0000, 0.2500, 0.2957), Ag at (0.0000, 0.2500, 0.7948), Ge at (0.0000, 0.2500, 0.5282) and Ge at (0.0000, 0.2500, 0.6335).

The final energy comes out at -6.03 eV per atom.


Entry 5:
Compound: Ca2YRh9
Source: Alexandria via LeMat-Bulk
Functional: PBE
Structure: relaxed

The structure belongs to space group R-3m (No. 166, hexagonal axes); the cell edges are 5.2798, 5.2798 and 26.2896 Å and the angles 90.00°, 90.00° and 120.00°. Symmetry generates all atoms from Ca at (0.0000, 0.0000, 0.1406), Y at (0.0000, 0.0000, 0.0000), Rh at (0.0000, 0.0000, 0.3330), Rh at (0.0000, 0.0000, 0.5000) and Rh at (0.0014, 0.5007, 0.0815).

The final energy comes out at -6.76 eV per atom.


Entry 6:
Compound: NdGdFe4
Source: Alexandria via LeMat-Bulk
Functional: PBE
Structure: relaxed

The structure belongs to space group F-43m (No. 216); the cell edges are 7.3706, 7.3706 and 7.3706 Å and the angles 90.00°, 90.00° and 90.00°. Symmetry generates all atoms from Nd at (0.0000, 0.0000, 0.0000), Gd at (0.2500, 0.2500, 0.7500) and Fe at (0.1245, 0.1245, 0.3755).

The final energy comes out at -8.74 eV per atom.


Entry 7:
Compound: Sr3Pb5Br12
Source: Alexandria via LeMat-Bulk
Functional: PBE
Structure: relaxed

The structure belongs to space group Ia-3d (No. 230); the cell edges are 18.7074, 18.7074 and 18.7074 Å and the angles 90.00°, 90.00° and 90.00°. Symmetry generates all atoms from Sr at (0.0000, 0.2500, 0.1250), Pb at (0.0000, 0.0000, 0.0000), Pb at (0.0000, 0.2500, 0.3750) and Br at (0.0051, 0.0611, 0.6567).

The final energy comes out at -3.17 eV per atom.


Entry 8:
Compound: Pr2ZnCu9
Source: Alexandria via LeMat-Bulk
Functional: PBE
Structure: relaxed

The structure belongs to space group R-3m (No. 166, hexagonal axes); the cell edges are 5.1382, 5.1382 and 25.1956 Å and the angles 90.00°, 90.00° and 120.00°. Symmetry generates all atoms from Pr at (0.0000, 0.0000, 0.1338), Zn at (0.0000, 0.0000, 0.0000), Cu at (0.0000, 0.0000, 0.3327), Cu at (0.0000, 0.0000, 0.5000) and Cu at (0.0003, 0.5001, 0.0789).

The final energy comes out at -3.98 eV per atom.


Entry 9:
Compound: La3HgOs
Source: Alexandria via LeMat-Bulk
Functional: PBE
Structure: relaxed

The structure belongs to space group P-1 (No. 2); the cell edges are 5.9820, 6.9845 and 8.6915 Å and the angles 67.83°, 76.26° and 65.56°. Symmetry generates all atoms from La at (0.0476, 0.1535, 0.1194), La at (0.3719, 0.1856, 0.6774), La at (0.3846, 0.4679, 0.2263), Hg at (0.0954, 0.7416, 0.5188) and Os at (0.4249, 0.8417, 0.9702).

The final energy comes out at -5.56 eV per atom.


Entry 10:
Compound: Li8ZnRh2
Source: Alexandria via LeMat-Bulk
Functional: PBE
Structure: relaxed

The structure belongs to space group C2/m (No. 12); the cell edges are 9.5551, 9.5560 and 4.4652 Å and the angles 90.00°, 97.51° and 90.00°. Symmetry generates all atoms from Li at (0.0890, 0.0000, 0.3058), Li at (0.1409, 0.2550, 0.7051), Li at (0.2412, 0.0000, 0.9116), Zn at (0.0000, 0.5000, 0.0000) and Rh at (0.1391, 0.5000, 0.5360).

The final energy comes out at -2.81 eV per atom.


Entry 11:
Compound: BaNiRh2
Source: Alexandria via LeMat-Bulk
Functional: PBE
Structure: relaxed

The structure belongs to space group R3m (No. 160, hexagonal axes); the cell edges are 4.3775, 4.3775 and 16.5983 Å and the angles 90.00°, 90.00° and 120.00°. Symmetry generates all atoms from Ba at (0.0000, 0.0000, 0.0000), Ni at (0.0000, 0.0000, 0.1826), Rh at (0.0000, 0.0000, 0.4978) and Rh at (0.0000, 0.0000, 0.8155).

The final energy comes out at -5.65 eV per atom.


Entry 12:
Compound: USnAs2
Source: Alexandria via LeMat-Bulk
Functional: PBE
Structure: relaxed

The structure belongs to space group R-3m (No. 166, hexagonal axes); the cell edges are 3.5710, 3.5710 and 28.1267 Å and the angles 90.00°, 90.00° and 120.00°. Symmetry generates all atoms from U at (0.0000, 0.0000, 0.0000), Sn at (0.0000, 0.0000, 0.5000) and As at (0.0000, 0.0000, 0.1010).

The final energy comes out at -5.65 eV per atom.


| no. | total magnetic moment (μB/f.u.) |
| --- | --- |
| 1 | 0.000 |
| 2 | 0.000 |
| 3 | 0.000 |
| 4 | 5.596 |
| 5 | 0.000 |
| 6 | 14.692 |
| 7 | 3.728 |
| 8 | 0.000 |
| 9 | 0.000 |
| 10 | 0.000 |
| 11 | 1.484 |
| 12 | 3.283 |